1.
# YTlHg

YTlHg after structural relaxation (GGA-PBE, Alexandria via LeMat-Bulk).

```
6
Lattice="4.7740 -0.0580 0.0298 2.1119 6.0383 -0.0119 0.2946 -3.4716 5.5062" Properties=species:S:1:pos:R:3 pbc="T T T"
Hg 4.2080 4.1224 0.9995
Y 2.1285 1.4073 1.6497
Tl 4.5084 2.3082 3.6300
Tl 2.1111 -0.0630 4.6776
Y 4.4948 -1.1714 2.8622
Hg 4.7978 -2.9926 5.4915
```

Energy relative to the lowest polymorph listed for this composition ... 55 meV per atom
Calculated formation energy ... -0.30 eV per atom
Total magnetization ... 0.00 μB/f.u.

***

2.
# Y6TlHg

Y6TlHg after structural relaxation (GGA-PBE, Alexandria via LeMat-Bulk).

```
8
Lattice="4.4341 -8.1737 3.0698 -1.0754 -6.3236 7.3994 -3.9365 5.2640 -7.2587" Properties=species:S:1:pos:R:3 pbc="T T T"
Tl 1.6793 -7.2487 5.2346
Y -2.1296 -2.1544 1.2435
Y 0.8383 -3.6183 2.6130
Y 1.5518 -7.0789 1.9669
Y 2.5204 -10.8790 7.8562
Y 0.6252 -3.0795 -0.9213
Hg 0.0000 0.0000 0.0000
Y -1.2030 -6.1539 4.1317
```

Calculated formation energy ... -0.21 eV per atom
Total magnetization ... 0.00 μB/f.u.

***

3.
# Y5TlHg2

Y5TlHg2 after structural relaxation (GGA-PBE, Alexandria via LeMat-Bulk).

```
16
Lattice="-5.1923 -6.0044 -2.4095 4.9800 -5.6814 3.4263 -3.1700 6.3966 5.1716" Properties=species:S:1:pos:R:3 pbc="T T T"
Hg 2.4134 -7.0560 2.0799
Y -3.2164 3.2793 3.1759
Y -0.1659 -8.5684 3.0125
Tl -1.7442 -5.5660 3.3484
Y -0.1061 -5.8429 0.5084
Hg -2.6257 -4.6297 -1.0631
Y 1.4805 -4.4827 3.5637
Y 0.0000 0.0000 0.0000
Y 0.2639 1.5838 5.3486
Tl -1.6381 0.2769 2.8400
Y -1.3824 -2.5020 4.7973
Hg 1.0732 -2.8857 0.9003
Y -3.6462 -6.8729 0.8398
Y -1.9998 -2.7872 1.3911
Y -4.8627 -0.8065 2.6247
Hg -1.2855 -8.8001 0.1164
```

Calculated formation energy ... -0.38 eV per atom
Total magnetization ... 0.00 μB/f.u.

***

4.
# YTlHg6

YTlHg6 after structural relaxation (GGA-PBE, Alexandria via LeMat-Bulk).

```
8
Lattice="7.8307 -3.2172 -0.8546 7.8307 3.2172 -0.8546 7.1120 0.0000 4.6712" Properties=species:S:1:pos:R:3 pbc="T T T"
Hg 17.3638 -1.5355 3.1524
Hg 5.4095 -1.5355 -0.1904
Hg 17.3638 1.5355 3.1524
Tl 11.3867 0.0000 1.4810
Hg 5.0665 0.0000 2.4470
Hg 5.4095 1.5355 -0.1904
Hg 17.7069 0.0000 0.5150
Y 0.0000 0.0000 0.0000
```

Calculated formation energy ... 0.06 eV per atom
Total magnetization ... 0.00 μB/f.u.

***

5.
# YTlHg

YTlHg after structural relaxation (GGA-PBE, Alexandria via LeMat-Bulk).

```
3
Lattice="0.0000 3.5795 3.5795 3.5795 0.0000 3.5795 3.5795 3.5795 0.0000" Properties=species:S:1:pos:R:3 pbc="T T T"
Tl 1.7897 1.7897 1.7897
Hg 5.3692 5.3692 5.3692
Y 3.5795 3.5795 3.5795
```

Energy relative to the lowest polymorph listed for this composition ... 299 meV per atom
Calculated formation energy ... -0.06 eV per atom
Total magnetization ... 0.00 μB/f.u.

***

6.
# Y6Tl2Hg

Y6Tl2Hg after structural relaxation (GGA-PBE, Alexandria via LeMat-Bulk).

```
18
Lattice="6.2172 0.0000 0.5483 0.0000 8.8955 0.0000 0.0023 0.0000 9.7581" Properties=species:S:1:pos:R:3 pbc="T T T"
Y 2.4266 7.4042 0.8210
Y 5.5305 8.6325 2.4536
Tl 0.4815 5.5994 2.4793
Hg 0.0011 0.0000 4.8790
Tl 2.6282 1.1516 2.6739
Y 0.6890 0.2630 7.8528
Hg 3.1086 4.4478 0.2742
Y 3.7929 1.4913 9.4853
Y 5.7091 6.0488 9.6768
Y 2.4230 4.7107 7.0585
Y 3.6201 1.6010 5.7828
Y 3.7964 4.1848 3.2479
Tl 3.5913 7.7439 7.6325
Y 2.5994 7.2945 4.5236
Tl 5.7379 3.2961 7.8271
Y 5.5363 5.9391 5.9742
Y 0.5104 2.8467 0.6296
Y 0.6831 2.9565 4.3321
```

Calculated formation energy ... -0.21 eV per atom
Total magnetization ... 0.00 μB/f.u.

***

7.
# YTlHg

YTlHg after structural relaxation (GGA-PBE, Alexandria via LeMat-Bulk).

```
6
Lattice="4.8346 0.0000 0.0000 -0.0001 4.6743 0.0143 0.0000 2.2951 6.9231" Properties=species:S:1:pos:R:3 pbc="T T T"
Y 3.9652 3.8040 1.1790
Hg 3.9654 3.7738 6.0187
Tl 3.9653 1.4502 3.6631
Tl 1.5481 1.4657 1.4590
Y 1.5479 3.7863 3.9563
Hg 1.5480 6.1117 6.0401
```

Energy relative to the lowest polymorph listed for this composition ... 42 meV per atom
Calculated formation energy ... -0.31 eV per atom
Total magnetization ... 0.00 μB/f.u.

***

8.
# Y2TlHg3

Y2TlHg3 after structural relaxation (GGA-PBE, Alexandria via LeMat-Bulk).

```
12
Lattice="6.0308 -0.9315 0.0000 -1.1650 5.9900 0.0000 -2.4329 -2.5293 8.6135" Properties=species:S:1:pos:R:3 pbc="T T T"
Y 3.6607 3.8057 0.0000
Y -0.5825 2.9950 4.3068
Hg 0.0000 0.0000 2.8438
Hg -1.8121 1.7430 7.1917
Hg 1.8121 -1.7430 7.1917
Y 3.0154 -0.4657 4.3068
Y 1.2051 1.2529 0.0000
Tl 0.0000 0.0000 5.7418
Hg 4.2449 0.7863 1.4219
Hg 2.4329 2.5293 5.7697
Tl 2.4329 2.5293 2.8717
Hg 0.6208 4.2723 1.4219
```

Energy relative to the lowest polymorph listed for this composition ... 0 meV per atom
Calculated formation energy ... -0.34 eV per atom
Total magnetization ... 0.10 μB/f.u.

***

9.
# YTlHg

YTlHg after structural relaxation (GGA-PBE, Alexandria via LeMat-Bulk).

```
3
Lattice="4.9313 0.0000 0.0000 -2.4657 4.2706 0.0000 0.0000 0.0000 3.7419" Properties=species:S:1:pos:R:3 pbc="T T T"
Hg 0.0000 0.0000 0.1905
Y 0.0000 2.8471 2.5372
Tl 2.4657 1.4235 1.0142
```

Energy relative to the lowest polymorph listed for this composition ... 45 meV per atom
Calculated formation energy ... -0.31 eV per atom
Total magnetization ... 0.00 μB/f.u.

***

10.
# Y2TlHg3

Y2TlHg3 after structural relaxation (GGA-PBE, Alexandria via LeMat-Bulk).

```
12
Lattice="5.9093 0.0000 -2.4533 -1.0317 5.8131 -2.4850 0.2320 0.3175 8.9024" Properties=species:S:1:pos:R:3 pbc="T T T"
Hg 1.7408 3.8418 0.0086
Y 4.7258 3.9281 -1.0289
Hg 3.3689 2.2888 3.9555
Tl -0.2579 1.4533 -0.6212
Hg 2.6968 1.4533 -1.8479
Y 2.7495 5.1091 2.5542
Hg 5.2024 0.9353 0.0281
Tl -0.7738 4.3598 -1.8637
Y 0.3838 2.2025 4.9930
Hg -0.0927 5.1953 3.9359
Y 2.3602 1.0216 1.4098
Hg 2.1809 4.3598 -3.0904
```

Energy relative to the lowest polymorph listed for this composition ... 15 meV per atom
Calculated formation energy ... -0.33 eV per atom
Total magnetization ... 0.00 μB/f.u.

***

11.
# YTlHg

YTlHg after structural relaxation (GGA-PBE, Alexandria via LeMat-Bulk).

```
6
Lattice="6.5495 0.0119 -0.0966 -0.0082 4.8953 0.0179 -5.4950 -2.4708 4.9808" Properties=species:S:1:pos:R:3 pbc="T T T"
Hg -0.9314 1.4815 1.1238
Hg -4.8079 1.4662 4.4563
Y -1.4618 1.4717 4.4883
Tl 2.3007 1.4894 1.0485
Y 0.7548 -0.9671 2.6402
Tl -2.5196 -0.9726 2.7576
```

Energy relative to the lowest polymorph listed for this composition ... 35 meV per atom
Calculated formation energy ... -0.32 eV per atom
Total magnetization ... 0.00 μB/f.u.

***

12.
# YTlHg

YTlHg after structural relaxation (GGA-PBE, Alexandria via LeMat-Bulk).

```
3
Lattice="6.2624 0.4796 1.2885 4.1338 3.2658 0.3124 -0.9828 0.9525 4.8629" Properties=species:S:1:pos:R:3 pbc="T T T"
Hg -0.4914 0.4763 2.4315
Y 5.1981 1.8727 0.8004
Tl 2.0669 1.6329 0.1562
```

Energy relative to the lowest polymorph listed for this composition ... 190 meV per atom
Calculated formation energy ... -0.17 eV per atom
Total magnetization ... 0.00 μB/f.u.

***

| no. | total DFT energy (no corrections) (eV per cell) |
| --- | --- |
| 1 | -20.07 |
| 2 | -43.13 |
| 3 | -76.60 |
| 4 | -10.20 |
| 5 | -9.30 |
| 6 | -91.49 |
| 7 | -20.15 |
| 8 | -36.52 |
| 9 | -10.06 |
| 10 | -36.35 |
| 11 | -20.19 |
| 12 | -9.63 |